Below is a relaxed NaLiCuAs crystal, with properties calculated at the PBE level.

Cell lengths 4.4618, 4.4618, 4.4618 Å; angles 60.00, 60.00, 60.00 degrees
Last column: nearest neighbours and their distance in Å.
Fractional positions:
1 Na 0.5000 0.5000 0.5000  4 Li 2.73, 4 Cu 2.73
2 As 0.0000 0.0000 0.0000  4 Li 2.73, 4 Cu 2.73
3 Cu 0.2500 0.2500 0.2500  4 As 2.73, 4 Na 2.73
4 Li 0.7500 0.7500 0.7500  4 As 2.73, 4 Na 2.73

Raw total energy   -3.28 eV per atom
Total moment   0.0000 μB/atom

---

Below is a relaxed Ac4Zn5Co2 crystal, with properties calculated at the PBE level.

Cell lengths 4.3155, 7.2724, 9.0190 Å; angles 84.45, 90.00, 90.00 degrees
Last column: nearest neighbours and their distance in Å.
Fractional positions:
1 Ac 0.5000 0.7560 0.6239  4 Co 3.01-3.31, 4 Zn 3.30-3.31
2 Ac 0.5000 0.2083 0.8415  8 Zn 3.16-3.43, 2 Co 3.24
3 Ac 0.5000 0.2440 0.3761  4 Co 3.01-3.31, 4 Zn 3.30-3.31
4 Ac 0.5000 0.7917 0.1585  8 Zn 3.16-3.43, 2 Co 3.24
5 Zn 0.0000 0.6107 0.3829  1 Co 2.49, 1 Zn 2.53
6 Zn 0.0000 0.1354 0.1217  1 Co 2.57, 1 Zn 2.77
7 Zn 0.0000 0.5000 0.0000  2 Zn 2.77
8 Zn 0.0000 0.8646 0.8783  1 Co 2.57, 1 Zn 2.77
9 Zn 0.0000 0.3893 0.6171  1 Co 2.49, 1 Zn 2.53
10 Co 0.0000 0.0459 0.6195  1 Co 2.32, 2 Zn 2.49-2.57
11 Co 0.0000 0.9541 0.3805  1 Co 2.32, 2 Zn 2.49-2.57

Raw total energy   -3.51 eV per atom
Total moment   0.0476 μB/atom

---

Below is a relaxed SrTiMn2Sb crystal, with properties calculated at the PBE level.

Cell lengths 4.5736, 5.3414, 4.5736 Å; angles 90.00, 90.00, 90.00 degrees
Last column: nearest neighbours and their distance in Å.
Fractional positions:
1 Sb 0.0000 0.5000 0.0000  2 Ti 2.67
2 Mn 0.0000 0.0000 0.5000  2 Ti 2.29
3 Mn 0.5000 0.0000 0.0000  2 Ti 2.29
4 Ti 0.0000 0.0000 0.0000  4 Mn 2.29
5 Sr 0.5000 0.5000 0.5000  4 Sb 3.23, 8 Mn 3.52

Raw total energy   -5.64 eV per atom
Total moment   0.1247 μB/atom
Uncorrected formation energy   0.772 eV per atom

---

Question: What is the raw total energy in the first record?
Answer: -3.28 eV per atom

---

Question: The highest raw total energy belongs to which entry?
Answer: NaLiCuAs

---

What did the third record say?
Below is a relaxed SrTiMn2Sb crystal, with properties calculated at the PBE level.

Cell lengths 4.5736, 5.3414, 4.5736 Å; angles 90.00, 90.00, 90.00 degrees
Last column: nearest neighbours and their distance in Å.
Fractional positions:
1 Sb 0.0000 0.5000 0.0000  2 Ti 2.67
2 Mn 0.0000 0.0000 0.5000  2 Ti 2.29
3 Mn 0.5000 0.0000 0.0000  2 Ti 2.29
4 Ti 0.0000 0.0000 0.0000  4 Mn 2.29
5 Sr 0.5000 0.5000 0.5000  4 Sb 3.23, 8 Mn 3.52

Raw total energy   -5.64 eV per atom
Total moment   0.1247 μB/atom
Uncorrected formation energy   0.772 eV per atom

---

Question: The lowest raw total energy belongs to which entry?
Answer: SrTiMn2Sb